Run i
GGA-PBE P, optimized geometry; SG = P-1 (2); Fermi-level density of states = 0.000 states/eV/f.u.
1.0
3.278 0.000 0.000
1.639 2.840 0.000
1.509 0.842 5.788
P
2
Direct
0.200 0.198 0.393
0.800 0.802 0.607



Run ii
GGA-PBE P, optimized geometry; SG = I4/mmm (139); Fermi-level density of states = 0.323 states/eV/f.u.
1.0
8.185 0.000 0.000
0.000 8.185 0.000
0.000 0.000 4.744
P
16
Direct
0.144 0.344 0.000
0.144 0.656 0.000
0.156 0.356 0.500
0.156 0.644 0.500
0.344 0.144 0.000
0.344 0.856 0.000
0.356 0.156 0.500
0.356 0.844 0.500
0.644 0.156 0.500
0.644 0.844 0.500
0.656 0.144 0.000
0.656 0.856 0.000
0.844 0.356 0.500
0.844 0.644 0.500
0.856 0.344 0.000
0.856 0.656 0.000



Run iii
GGA-PBE P, optimized geometry; SG = Fd-3m (227); Fermi-level density of states = 1.055 states/eV/f.u.
1.0
5.503 0.000 0.000
0.000 5.503 0.000
0.000 0.000 5.503
P
8
Direct
0.125 0.125 0.125
0.125 0.625 0.625
0.375 0.375 0.875
0.375 0.875 0.375
0.625 0.125 0.625
0.625 0.625 0.125
0.875 0.375 0.375
0.875 0.875 0.875



Run iv
GGA-PBE P, optimized geometry; SG = P2/m (10)
1.0
4.575 0.000 0.000
0.000 3.303 0.000
-1.195 0.000 5.722
P
4
Direct
0.040 0.000 0.315
0.366 0.500 0.315
0.634 0.500 0.685
0.960 0.000 0.685



Computed relative energies in units of eV/atom: run i 0.008; run ii 0.250; run iii 0.578; run iv 0.000



Run i
GGA-PBE P, optimized geometry; SG = P-1 (2); Fermi-level density of states = 0.000 states/eV/f.u.
1.0
5.997 0.000 0.000
-2.241 11.538 0.000
-1.954 -1.351 11.607
P
24
Direct
0.001 0.366 0.194
0.057 0.875 0.137
0.074 0.500 0.685
0.151 0.551 0.190
0.200 0.015 0.856
0.223 0.515 0.869
0.237 0.127 0.441
0.237 0.179 0.777
0.294 0.183 0.966
0.392 0.817 0.484
0.402 0.314 0.465
0.488 0.195 0.333
0.512 0.805 0.667
0.598 0.686 0.535
0.608 0.183 0.516
0.706 0.817 0.034
0.763 0.821 0.223
0.763 0.873 0.559
0.777 0.485 0.131
0.800 0.985 0.144
0.849 0.449 0.810
0.926 0.500 0.315
0.943 0.125 0.863
0.999 0.634 0.806



Run ii
GGA-PBE P, optimized geometry; SG = P2_12_12_1 (19); Fermi-level density of states = 0.032 states/eV/f.u.
1.0
5.399 0.000 0.000
0.000 5.487 0.000
0.000 0.000 10.740
P
16
Direct
0.192 0.180 0.238
0.196 0.450 0.962
0.214 0.596 0.257
0.228 0.920 0.542
0.272 0.080 0.042
0.286 0.404 0.757
0.304 0.550 0.462
0.308 0.820 0.738
0.692 0.320 0.762
0.696 0.050 0.038
0.714 0.904 0.743
0.728 0.580 0.458
0.772 0.420 0.958
0.786 0.096 0.243
0.804 0.950 0.538
0.808 0.680 0.262



Run iii
GGA-PBE P, optimized geometry; SG = I4_1/amd (141); Fermi-level density of states = 0.398 states/eV/f.u.
1.0
8.702 0.000 0.000
0.000 8.702 0.000
0.000 0.000 4.090
P
16
Direct
0.134 0.116 0.375
0.134 0.384 0.375
0.134 0.616 0.625
0.134 0.884 0.625
0.366 0.116 0.125
0.366 0.384 0.125
0.366 0.616 0.875
0.366 0.884 0.875
0.634 0.116 0.125
0.634 0.384 0.125
0.634 0.616 0.875
0.634 0.884 0.875
0.866 0.116 0.375
0.866 0.384 0.375
0.866 0.616 0.625
0.866 0.884 0.625



Run iv
GGA-PBE P, optimized geometry; SG = Pmna (53); Fermi-level density of states = 0.006 states/eV/f.u.
1.0
3.302 0.000 0.000
0.000 6.101 0.000
0.000 0.000 4.585
P
4
Direct
0.000 0.173 0.088
0.000 0.827 0.912
0.500 0.173 0.412
0.500 0.827 0.588



Computed relative energies in units of eV/atom: run i 0.100; run ii 0.066; run iii 0.397; run iv 0.000